A plane-wave DFT calculation with PBE was carried out for an optimized crystal structure of Zr2Sc4As3N3.

Output
Raw total energy   -8.170 eV/atom
Density   5.6 Mg/m³

Unit cell a=5.8550 b=5.8550 c=12.9970 alpha=103.01 beta=103.01 gamma=60.07
Closest atoms and distances in Å follow each position.
Sites, in units of the cell vectors:
Zr  0.0328  0.8647  0.5988  3 N 2.30-2.32
Zr  0.1353  0.9672  0.9012  3 N 2.30-2.32
Zr  0.8647  0.0328  0.0988  3 N 2.30-2.32
Zr  0.9672  0.1353  0.4012  3 N 2.30-2.32
Sc  0.1981  0.3676  0.0959  3 N 2.28-2.30
Sc  0.3033  0.4664  0.4040  3 N 2.28-2.30
Sc  0.3676  0.1981  0.5959  3 N 2.28-2.30
Sc  0.4664  0.3033  0.9040  3 N 2.28-2.30
Sc  0.5336  0.6967  0.0960  3 N 2.28-2.30
Sc  0.6324  0.8019  0.4041  3 N 2.28-2.30
Sc  0.6967  0.5336  0.5960  3 N 2.28-2.30
Sc  0.8019  0.6324  0.9041  3 N 2.28-2.30
As  0.0840  0.2574  0.7499  4 Sc 2.73-2.74, 2 Zr 2.75-2.76
As  0.2574  0.0840  0.2499  4 Sc 2.73-2.74, 2 Zr 2.75-2.76
As  0.4241  0.5759  0.7500  4 Sc 2.73, 2 Zr 2.75
As  0.5759  0.4241  0.2500  4 Sc 2.73, 2 Zr 2.75
As  0.7426  0.9160  0.7501  4 Sc 2.73-2.74, 2 Zr 2.75-2.76
As  0.9160  0.7426  0.2501  4 Sc 2.73-2.74, 2 Zr 2.75-2.76
N  0.0000  0.5000  0.5000  4 Sc 2.30, 2 Zr 2.30
N  0.1673  0.6655  0.0000  4 Sc 2.28-2.30, 2 Zr 2.32
N  0.3345  0.8327  0.5000  4 Sc 2.28-2.30, 2 Zr 2.32
N  0.5000  0.0000  0.0000  4 Sc 2.30, 2 Zr 2.30
N  0.6655  0.1673  0.5000  4 Sc 2.28-2.30, 2 Zr 2.32
N  0.8327  0.3345  0.0000  4 Sc 2.28-2.30, 2 Zr 2.32



A plane-wave DFT calculation with PBE was carried out for an optimized crystal structure of SiAsW4N2.

Output
Raw total energy   -9.591 eV/atom
Density   14.1 Mg/m³

Unit cell a=2.9630 b=2.9630 c=13.4499 alpha=90.00 beta=90.00 gamma=120.00
Closest atoms and distances in Å follow each position.
Sites, in units of the cell vectors:
Si  0.0000  0.0000  0.0000  6 W 2.57
As  0.3333  0.6667  0.5000  6 W 2.65
W  0.0000  0.0000  0.3500  3 N 2.20
W  0.0000  0.0000  0.6500  3 N 2.20
W  0.3333  0.6667  0.1430  3 N 2.21
W  0.3333  0.6667  0.8570  3 N 2.21
N  0.6667  0.3333  0.2475  6 W 2.20-2.21
N  0.6667  0.3333  0.7525  6 W 2.20-2.21



A plane-wave DFT calculation with PBE was carried out for an optimized crystal structure of Zn2Si2As3N.

Output
Raw total energy   -4.663 eV/atom
Density   4.8 Mg/m³

Unit cell a=11.3463 b=5.4419 c=5.3462 alpha=90.00 beta=116.10 gamma=90.00
Closest atoms and distances in Å follow each position.
Sites, in units of the cell vectors:
Zn  0.1114  0.0000  0.3237  1 N 2.14
Zn  0.3886  0.5000  0.6763  1 N 2.14
Zn  0.6114  0.5000  0.3237  1 N 2.14
Zn  0.8886  0.0000  0.6763  1 N 2.14
Si  0.1093  0.5799  0.8990  1 N 1.80
Si  0.3907  0.0799  0.1010  1 N 1.80
Si  0.6093  0.0799  0.8990  1 N 1.80
Si  0.8907  0.5799  0.1010  1 N 1.80
As  0.0000  0.3211  0.5000  2 Si 2.40, 2 Zn 2.57
As  0.2489  0.2971  0.2369  2 Si 2.35-2.37, 2 Zn 2.43-2.44
As  0.2511  0.7971  0.7631  2 Si 2.35-2.37, 2 Zn 2.43-2.44
As  0.5000  0.8211  0.5000  2 Si 2.40, 2 Zn 2.57
As  0.7489  0.7971  0.2369  2 Si 2.35-2.37, 2 Zn 2.43-2.44
As  0.7511  0.2971  0.7631  2 Si 2.35-2.37, 2 Zn 2.43-2.44
N  0.0000  0.7447  0.0000  2 Si 1.80
N  0.5000  0.2447  0.0000  2 Si 1.80



A plane-wave DFT calculation with PBE was carried out for an optimized crystal structure of ZnSiAsN.

Output
Raw total energy   -5.109 eV/atom
Density   4.8 Mg/m³
Relative energy among the computed polymorphs   79 meV/atom

Unit cell a=4.9923 b=5.3851 c=9.4319 alpha=90.00 beta=90.00 gamma=90.00
Closest atoms and distances in Å follow each position.
Sites, in units of the cell vectors:
Zn  0.0000  0.2500  0.0979  2 N 2.37, 2 As 2.39
Zn  0.0000  0.7500  0.4021  2 N 2.37, 2 As 2.39
Zn  0.5000  0.2500  0.9021  2 N 2.37, 2 As 2.39
Zn  0.5000  0.7500  0.5979  2 N 2.37, 2 As 2.39
Si  0.0000  0.2500  0.5920  2 N 1.77
Si  0.0000  0.7500  0.9080  2 N 1.77
Si  0.5000  0.2500  0.4080  2 N 1.77
Si  0.5000  0.7500  0.0920  2 N 1.77
As  0.2284  0.5000  0.7500  2 Si 2.31, 2 Zn 2.39
As  0.2716  0.5000  0.2500  2 Si 2.31, 2 Zn 2.39
As  0.7284  0.0000  0.2500  2 Si 2.31, 2 Zn 2.39
As  0.7716  0.0000  0.7500  2 Si 2.31, 2 Zn 2.39
N  0.2500  0.0818  0.5000  2 Si 1.77
N  0.2500  0.9182  0.0000  2 Si 1.77
N  0.7500  0.4182  0.5000  2 Si 1.77
N  0.7500  0.5818  0.0000  2 Si 1.77



A plane-wave DFT calculation with PBE was carried out for an optimized crystal structure of ZnSiAsN.

Output
Raw total energy   -5.189 eV/atom
Density   5.0 Mg/m³
Relative energy among the computed polymorphs   0 meV/atom

Unit cell a=7.1659 b=7.2439 c=5.7242 alpha=90.00 beta=124.54 gamma=90.00
Closest atoms and distances in Å follow each position.
Sites, in units of the cell vectors:
Zn  0.0000  0.1616  0.0000  2 N 2.14
Zn  0.0000  0.8384  0.5000  2 N 2.14
Zn  0.5000  0.3384  0.5000  2 N 2.14
Zn  0.5000  0.6616  0.0000  2 N 2.14
Si  0.4268  0.0909  0.0040  2 N 1.79-1.80
Si  0.4268  0.9091  0.5040  2 N 1.79-1.80
Si  0.9268  0.4091  0.5040  2 N 1.79-1.80
Si  0.9268  0.5909  0.0040  2 N 1.79-1.80
As  0.3210  0.3675  0.7527  2 Si 2.33-2.35, 2 Zn 2.43-2.48
As  0.3210  0.6325  0.2527  2 Si 2.33-2.35, 2 Zn 2.43-2.48
As  0.8210  0.1325  0.2527  2 Si 2.33-2.35, 2 Zn 2.43-2.48
As  0.8210  0.8675  0.7527  2 Si 2.33-2.35, 2 Zn 2.43-2.48
N  0.3520  0.0922  0.2535  2 Si 1.79-1.80
N  0.3520  0.9078  0.7535  2 Si 1.79-1.80
N  0.8520  0.4078  0.7535  2 Si 1.79-1.80
N  0.8520  0.5922  0.2535  2 Si 1.79-1.80



A plane-wave DFT calculation with PBE was carried out for an optimized crystal structure of Sm3As2N.

Output
Raw total energy   -6.652 eV/atom
Density   7.6 Mg/m³

Unit cell a=3.9501 b=3.9501 c=10.0057 alpha=90.00 beta=90.00 gamma=120.00
Closest atoms and distances in Å follow each position.
Sites, in units of the cell vectors:
Sm  0.0000  0.0000  0.0000  6 As 2.91
Sm  0.3333  0.6667  0.6363  3 N 2.66, 3 As 2.93
Sm  0.6667  0.3333  0.3637  3 N 2.66, 3 As 2.93
As  0.3333  0.6667  0.1804  6 Sm 2.91-2.93
As  0.6667  0.3333  0.8196  6 Sm 2.91-2.93
N  0.0000  0.0000  0.5000  6 Sm 2.66



A plane-wave DFT calculation with PBE was carried out for an optimized crystal structure of TbSm2As2N6.

Output
Raw total energy   -7.229 eV/atom
Density   8.1 Mg/m³

Unit cell a=9.9465 b=9.9465 c=9.9465 alpha=157.59 beta=157.59 gamma=31.90
Closest atoms and distances in Å follow each position.
Sites, in units of the cell vectors:
Tb  0.0000  0.0000  0.0000  8 N 2.50
Sm  0.1792  0.1792  0.0000  1 N 2.34
Sm  0.8208  0.8208  0.0000  1 N 2.34
As  0.3973  0.3973  0.0000  5 N 1.83-1.97
As  0.6027  0.6027  0.0000  5 N 1.83-1.97
N  0.0825  0.5825  0.5000  2 As 1.97
N  0.3014  0.3014  0.0000  1 As 1.83
N  0.4175  0.9175  0.5000  2 As 1.97
N  0.5825  0.0825  0.5000  2 As 1.97
N  0.6986  0.6986  0.0000  1 As 1.83
N  0.9175  0.4175  0.5000  2 As 1.97



A plane-wave DFT calculation with PBE was carried out for an optimized crystal structure of Sm3As3W2N12.

Output
Raw total energy   -8.142 eV/atom
Density   8.1 Mg/m³

Unit cell a=10.8676 b=10.8676 c=10.8676 alpha=109.47 beta=109.47 gamma=109.47
Closest atoms and distances in Å follow each position.
Sites, in units of the cell vectors:
Sm  0.1250  0.2500  0.3750  8 N 2.47-2.54
Sm  0.1250  0.3750  0.7500  8 N 2.47-2.54
Sm  0.2500  0.3750  0.1250  8 N 2.47-2.54
Sm  0.2500  0.8750  0.6250  8 N 2.47-2.54
Sm  0.3750  0.1250  0.2500  8 N 2.47-2.54
Sm  0.3750  0.7500  0.1250  8 N 2.47-2.54
Sm  0.6250  0.2500  0.8750  8 N 2.47-2.54
Sm  0.6250  0.8750  0.7500  8 N 2.47-2.54
Sm  0.7500  0.1250  0.3750  8 N 2.47-2.54
Sm  0.7500  0.6250  0.8750  8 N 2.47-2.54
Sm  0.8750  0.6250  0.2500  8 N 2.47-2.54
Sm  0.8750  0.7500  0.6250  8 N 2.47-2.54
As  0.1250  0.7500  0.8750  4 N 1.82
As  0.1250  0.8750  0.2500  4 N 1.82
As  0.2500  0.1250  0.8750  4 N 1.82
As  0.2500  0.6250  0.3750  4 N 1.82
As  0.3750  0.2500  0.6250  4 N 1.82
As  0.3750  0.6250  0.7500  4 N 1.82
As  0.6250  0.3750  0.2500  4 N 1.82
As  0.6250  0.7500  0.3750  4 N 1.82
As  0.7500  0.3750  0.6250  4 N 1.82
As  0.7500  0.8750  0.1250  4 N 1.82
As  0.8750  0.1250  0.7500  4 N 1.82
As  0.8750  0.2500  0.1250  4 N 1.82
W  0.0000  0.0000  0.0000  6 N 2.03
W  0.0000  0.0000  0.5000  6 N 2.03
W  0.0000  0.5000  0.0000  6 N 2.03
W  0.0000  0.5000  0.5000  6 N 2.03
W  0.5000  0.0000  0.0000  6 N 2.03
W  0.5000  0.0000  0.5000  6 N 2.03
W  0.5000  0.5000  0.0000  6 N 2.03
W  0.5000  0.5000  0.5000  6 N 2.03
N  0.0165  0.2006  0.1135  1 As 1.82, 1 W 2.03
N  0.0165  0.3159  0.9030  1 As 1.82, 1 W 2.03
N  0.0871  0.7006  0.6841  1 As 1.82, 1 W 2.03
N  0.0871  0.8865  0.4030  1 As 1.82, 1 W 2.03
N  0.0970  0.6135  0.4129  1 As 1.82, 1 W 2.03
N  0.0970  0.9835  0.6841  1 As 1.82, 1 W 2.03
N  0.1135  0.0165  0.2006  1 As 1.82, 1 W 2.03
N  0.1135  0.5970  0.9129  1 As 1.82, 1 W 2.03
N  0.1841  0.2006  0.5871  1 As 1.82, 1 W 2.03
N  0.1841  0.4835  0.5970  1 As 1.82, 1 W 2.03
N  0.2006  0.1135  0.0165  1 As 1.82, 1 W 2.03
N  0.2006  0.5871  0.1841  1 As 1.82, 1 W 2.03
N  0.2994  0.3159  0.9129  1 As 1.82, 1 W 2.03
N  0.2994  0.4835  0.3865  1 As 1.82, 1 W 2.03
N  0.3159  0.9030  0.0165  1 As 1.82, 1 W 2.03
N  0.3159  0.9129  0.2994  1 As 1.82, 1 W 2.03
N  0.3865  0.2994  0.4835  1 As 1.82, 1 W 2.03
N  0.3865  0.5871  0.9030  1 As 1.82, 1 W 2.03
N  0.4030  0.0871  0.8865  1 As 1.82, 1 W 2.03
N  0.4030  0.8159  0.5165  1 As 1.82, 1 W 2.03
N  0.4129  0.0970  0.6135  1 As 1.82, 1 W 2.03
N  0.4129  0.8159  0.7994  1 As 1.82, 1 W 2.03
N  0.4835  0.3865  0.2994  1 As 1.82, 1 W 2.03
N  0.4835  0.5970  0.1841  1 As 1.82, 1 W 2.03
N  0.5165  0.4030  0.8159  1 As 1.82, 1 W 2.03
N  0.5165  0.6135  0.7006  1 As 1.82, 1 W 2.03
N  0.5871  0.1841  0.2006  1 As 1.82, 1 W 2.03
N  0.5871  0.9030  0.3865  1 As 1.82, 1 W 2.03
N  0.5970  0.1841  0.4835  1 As 1.82, 1 W 2.03
N  0.5970  0.9129  0.1135  1 As 1.82, 1 W 2.03
N  0.6135  0.4129  0.0970  1 As 1.82, 1 W 2.03
N  0.6135  0.7006  0.5165  1 As 1.82, 1 W 2.03
N  0.6841  0.0871  0.7006  1 As 1.82, 1 W 2.03
N  0.6841  0.0970  0.9835  1 As 1.82, 1 W 2.03
N  0.7006  0.5165  0.6135  1 As 1.82, 1 W 2.03
N  0.7006  0.6841  0.0871  1 As 1.82, 1 W 2.03
N  0.7994  0.4129  0.8159  1 As 1.82, 1 W 2.03
N  0.7994  0.8865  0.9835  1 As 1.82, 1 W 2.03
N  0.8159  0.5165  0.4030  1 As 1.82, 1 W 2.03
N  0.8159  0.7994  0.4129  1 As 1.82, 1 W 2.03
N  0.8865  0.4030  0.0871  1 As 1.82, 1 W 2.03
N  0.8865  0.9835  0.7994  1 As 1.82, 1 W 2.03
N  0.9030  0.0165  0.3159  1 As 1.82, 1 W 2.03
N  0.9030  0.3865  0.5871  1 As 1.82, 1 W 2.03
N  0.9129  0.1135  0.5970  1 As 1.82, 1 W 2.03
N  0.9129  0.2994  0.3159  1 As 1.82, 1 W 2.03
N  0.9835  0.6841  0.0970  1 As 1.82, 1 W 2.03
N  0.9835  0.7994  0.8865  1 As 1.82, 1 W 2.03



A plane-wave DFT calculation with PBE was carried out for an optimized crystal structure of Ta4SnAsN2.

Output
Raw total energy   -9.573 eV/atom
Density   13.2 Mg/m³

Unit cell a=3.2997 b=3.2997 c=12.6585 alpha=90.00 beta=90.00 gamma=120.00
Closest atoms and distances in Å follow each position.
Sites, in units of the cell vectors:
Ta  0.0000  0.0000  0.1473  3 N 2.22
Ta  0.0000  0.0000  0.8527  3 N 2.22
Ta  0.3333  0.6667  0.3192  3 N 2.17
Ta  0.3333  0.6667  0.6808  3 N 2.17
Sn  0.0000  0.0000  0.5000  6 Ta 2.98, 6 Sn 3.30
As  0.3333  0.6667  0.0000  6 Ta 2.67
N  0.6667  0.3333  0.2368  6 Ta 2.17-2.22
N  0.6667  0.3333  0.7632  6 Ta 2.17-2.22



A plane-wave DFT calculation with PBE was carried out for an optimized crystal structure of ZnSnAsN.

Output
Raw total energy   -4.521 eV/atom
Density   6.0 Mg/m³
Relative energy among the computed polymorphs   0 meV/atom

Unit cell a=7.5978 b=7.6188 c=6.4630 alpha=90.00 beta=125.89 gamma=90.00
Closest atoms and distances in Å follow each position.
Sites, in units of the cell vectors:
Zn  0.0000  0.1692  0.0000  2 N 2.07-2.08
Zn  0.0000  0.8308  0.5000  2 N 2.07-2.08
Zn  0.5000  0.3308  0.5000  2 N 2.07-2.08
Zn  0.5000  0.6692  0.0000  2 N 2.07-2.08
Sn  0.4279  0.0989  0.9944  2 N 2.15
Sn  0.4279  0.9011  0.4944  2 N 2.15
Sn  0.9279  0.4011  0.4944  2 N 2.15
Sn  0.9279  0.5989  0.9944  2 N 2.15
As  0.3494  0.3905  0.7459  2 Zn 2.48-2.51, 2 Sn 2.60-2.61
As  0.3494  0.6095  0.2459  2 Zn 2.48-2.51, 2 Sn 2.60-2.61
As  0.8494  0.1095  0.2459  2 Zn 2.48-2.51, 2 Sn 2.60-2.61
As  0.8494  0.8905  0.7459  2 Zn 2.48-2.51, 2 Sn 2.60-2.61
N  0.3336  0.1252  0.2479  2 Zn 2.07-2.08, 2 Sn 2.15
N  0.3336  0.8748  0.7479  2 Zn 2.07-2.08, 2 Sn 2.15
N  0.8336  0.3748  0.7479  2 Zn 2.07-2.08, 2 Sn 2.15
N  0.8336  0.6252  0.2479  2 Zn 2.07-2.08, 2 Sn 2.15



A plane-wave DFT calculation with PBE was carried out for an optimized crystal structure of Zn2Sn2As3N.

Output
Raw total energy   -4.158 eV/atom
Density   5.6 Mg/m³

Unit cell a=12.4829 b=5.6891 c=5.6361 alpha=90.00 beta=116.26 gamma=90.00
Closest atoms and distances in Å follow each position.
Sites, in units of the cell vectors:
Zn  0.1063  0.0000  0.3105  1 N 2.06
Zn  0.3937  0.5000  0.6895  1 N 2.06
Zn  0.6063  0.5000  0.3105  1 N 2.06
Zn  0.8937  0.0000  0.6895  1 N 2.06
Sn  0.1171  0.4262  0.8953  1 N 2.17
Sn  0.3829  0.9262  0.1047  1 N 2.17
Sn  0.6171  0.9262  0.8953  1 N 2.17
Sn  0.8829  0.4262  0.1047  1 N 2.17
As  0.0000  0.7272  0.5000  2 Zn 2.56, 2 Sn 2.67
As  0.2485  0.7092  0.2843  2 Zn 2.48-2.50, 2 Sn 2.62-2.63
As  0.2515  0.2092  0.7157  2 Zn 2.48-2.50, 2 Sn 2.62-2.63
As  0.5000  0.2272  0.5000  2 Zn 2.56, 2 Sn 2.67
As  0.7485  0.2092  0.2843  2 Zn 2.48-2.50, 2 Sn 2.62-2.63
As  0.7515  0.7092  0.7157  2 Zn 2.48-2.50, 2 Sn 2.62-2.63
N  0.0000  0.2125  0.0000  2 Zn 2.06, 2 Sn 2.17
N  0.5000  0.7125  0.0000  2 Zn 2.06, 2 Sn 2.17



A plane-wave DFT calculation with PBE was carried out for an optimized crystal structure of ZnSnAsN.

Output
Raw total energy   -4.427 eV/atom
Density   5.9 Mg/m³
Relative energy among the computed polymorphs   94 meV/atom

Unit cell a=5.2769 b=5.3693 c=10.8057 alpha=90.00 beta=90.00 gamma=90.00
Closest atoms and distances in Å follow each position.
Sites, in units of the cell vectors:
Zn  0.0000  0.2500  0.0856  2 N 2.12
Zn  0.0000  0.7500  0.4144  2 N 2.12
Zn  0.5000  0.2500  0.9144  2 N 2.12
Zn  0.5000  0.7500  0.5856  2 N 2.12
Sn  0.0000  0.2500  0.6088  2 N 2.19
Sn  0.0000  0.7500  0.8912  2 N 2.19
Sn  0.5000  0.2500  0.3912  2 N 2.19
Sn  0.5000  0.7500  0.1088  2 N 2.19
As  0.2004  0.0000  0.2500  2 Zn 2.46, 2 Sn 2.58
As  0.2996  0.0000  0.7500  2 Zn 2.46, 2 Sn 2.58
As  0.7004  0.5000  0.7500  2 Zn 2.46, 2 Sn 2.58
As  0.7996  0.5000  0.2500  2 Zn 2.46, 2 Sn 2.58
N  0.2500  0.4922  0.5000  2 Zn 2.12, 2 Sn 2.19
N  0.2500  0.5078  0.0000  2 Zn 2.12, 2 Sn 2.19
N  0.7500  0.0078  0.5000  2 Zn 2.12, 2 Sn 2.19
N  0.7500  0.9922  0.0000  2 Zn 2.12, 2 Sn 2.19



> Which formula does entry 10 have?

ZnSnAsN



> Look up the raw total energy of the twelfth one.

-4.427 eV/atom